VASP calculation (GGA+U) on ScV2HO after structural relaxation.

a = 4.1409 Å, b = 4.1409 Å, c = 4.4212 Å
α = 90.00°, β = 90.00°, γ = 90.00°
Space group P4/mmm (No. 123)
One atom of each set of equivalent atoms:
Sc  0.0000  0.0000  0.0000 (multiplicity 1)
V  0.0000  0.5000  0.5000 (multiplicity 2)
H  0.5000  0.5000  0.0000 (multiplicity 1)
O  0.0000  0.0000  0.5000 (multiplicity 1)

The value obtained for the total energy is -5.7423 eV per atom. The total moment is 5.927 Bohr magnetons per cell.